VASP calculation (PBE) on a geometry-optimized Ce6PuCd3 structure.

Structure (CIF):
```
data_Ce6PuCd3
_space_group_name_H-M_alt 'R -3 m'
_space_group_IT_number 166
_space_group_name_Hall '-R 3 2"'
_cell_length_a 10.4560
_cell_length_b 10.4560
_cell_length_c 17.0333
_cell_angle_alpha 90.00
_cell_angle_beta 90.00
_cell_angle_gamma 120.00
loop_
_atom_site_label
_atom_site_fract_x
_atom_site_fract_y
_atom_site_fract_z
_atom_site_occupancy
Ce1 0.1105 0.2210 0.4146 1
Ce2 0.1113 0.2226 0.0823 1
Pu1 0.0000 0.0000 0.0000 1
Pu2 0.0000 0.0000 0.5000 1
Cd1 0.1103 0.2207 0.7494 1
```

## Properties
The value obtained for the total magnetization is 0.000 μB per formula unit. The uncorrected energy is -326.38 eV for the cell shown. The formation energy comes out at -172 meV/atom.